Record 1
NaLi15Hg4: optimized geometry, GGA-PBE.

E in eV per atom: -1.763
Energy of formation in eV/atom: -0.2011

```
data_NaLi15Hg4
_space_group_name_H-M_alt 'P 4/m m m'
_space_group_IT_number 123
_space_group_name_Hall '-P 4 2'
_cell_length_a 4.3113
_cell_length_b 4.3113
_cell_length_c 20.2035
_cell_angle_alpha 90.00
_cell_angle_beta 90.00
_cell_angle_gamma 90.00
loop_
_atom_site_label
_atom_site_type_symbol
_atom_site_fract_x
_atom_site_fract_y
_atom_site_fract_z
Na1 Na 0.0000 0.0000 0.0000
Li1 Li 0.0000 0.5000 0.1193
Li2 Li 0.0000 0.5000 0.3086
Li3 Li 0.0000 0.5000 0.5000
Li4 Li 0.5000 0.5000 0.0000
Li5 Li 0.5000 0.5000 0.2128
Li6 Li 0.5000 0.5000 0.4032
Hg1 Hg 0.0000 0.0000 0.2103
Hg2 Hg 0.0000 0.0000 0.4034
```

***

Record 2
NaLi9Hg2: optimized geometry, GGA-PBE.

E in eV per atom: -1.758
Energy of formation in eV/atom: -0.1627

```
data_NaLi9Hg2
_space_group_name_H-M_alt 'P 4/m m m'
_space_group_IT_number 123
_space_group_name_Hall '-P 4 2'
_cell_length_a 4.3421
_cell_length_b 4.3421
_cell_length_c 12.4692
_cell_angle_alpha 90.00
_cell_angle_beta 90.00
_cell_angle_gamma 90.00
loop_
_atom_site_label
_atom_site_type_symbol
_atom_site_fract_x
_atom_site_fract_y
_atom_site_fract_z
Na1 Na 0.0000 0.0000 0.0000
Li1 Li 0.0000 0.5000 0.1950
Li2 Li 0.0000 0.5000 0.5000
Li3 Li 0.5000 0.5000 0.0000
Li4 Li 0.5000 0.5000 0.3464
Hg1 Hg 0.0000 0.0000 0.3449
```

***

Record 3
NaLi2Hg2: optimized geometry, GGA-PBE.

E in eV per atom: -1.423
Energy of formation in eV/atom: -0.2731
Offset from the most stable computed form in meV/atom: 12

```
data_NaLi2Hg2
_space_group_name_H-M_alt 'P 4/m b m'
_space_group_IT_number 127
_space_group_name_Hall '-P 4 2ab'
_cell_length_a 8.1359
_cell_length_b 8.1359
_cell_length_c 3.2420
_cell_angle_alpha 90.00
_cell_angle_beta 90.00
_cell_angle_gamma 90.00
loop_
_atom_site_label
_atom_site_type_symbol
_atom_site_fract_x
_atom_site_fract_y
_atom_site_fract_z
Na1 Na 0.0000 0.0000 0.0000
Li1 Li 0.1563 0.3437 0.5000
Hg1 Hg 0.1388 0.6388 0.0000
```